[1]
A relaxed Nd3Cd2Ga crystal. Source: Alexandria, functional PBE.

- volume (A^3/atom) = 27.57
- mass density (Mg/m³) = 7.301
- relative energy among the computed polymorphs (kJ/mol of formula units) = 7
- formation energy (eV per atom) = -0.381

Cell lengths 5.3844, 5.3844, 6.5886 Å; angles 90.00, 90.00, 120.00 degrees
Space group P-3m1 (No. 164)
Asymmetric unit:
Nd: 0.0000 0.0000 0.0000 [1 per cell]
Nd: 0.3333 0.6667 0.6529 [2 per cell]
Cd: 0.3333 0.6667 0.1522 [2 per cell]
Ga: 0.0000 0.0000 0.5000 [1 per cell]

[2]
A relaxed Tl3Sn4Te8 crystal. Source: Alexandria, functional PBE.

- volume (A^3/atom) = 33.96
- formation energy (no corrections) (meV/atom) = -192
- mass density (Mg/m³) = 6.874

Cell lengths 12.6925, 12.6476, 8.8135 Å; angles 90.00, 133.93, 90.00 degrees
Space group C2/m (No. 12)
Asymmetric unit:
Tl: 0.0000 0.0000 0.0000 [2 per cell]
Tl: 0.2500 0.2500 0.0000 [4 per cell]
Sn: 0.0000 0.5000 0.0000 [2 per cell]
Sn: 0.0000 0.5000 0.5000 [2 per cell]
Sn: 0.2500 0.2500 0.5000 [4 per cell]
Te: 0.0000 0.2539 0.5000 [4 per cell]
Te: 0.0000 0.2559 0.0000 [4 per cell]
Te: 0.2381 0.5000 0.9909 [4 per cell]
Te: 0.2389 0.5000 0.4860 [4 per cell]

[3]
A relaxed MgCuPtRh crystal. Source: Alexandria, functional PBE.

- volume (A^3/atom) = 14.45
- mass density (Mg/m³) = 11.085
- formation energy (eV per atom) = -0.339

Cell lengths 6.1375, 6.1375, 6.1375 Å; angles 90.00, 90.00, 90.00 degrees
Space group F-43m (No. 216)
Asymmetric unit:
Mg: 0.0000 0.0000 0.0000 [4 per cell]
Cu: 0.0000 0.0000 0.5000 [4 per cell]
Pt: 0.2500 0.2500 0.7500 [4 per cell]
Rh: 0.2500 0.2500 0.2500 [4 per cell]

[4]
A relaxed HoThB2O8 crystal. Source: Alexandria, functional PBE.

- volume (A^3/atom) = 10.62
- formation energy (no corrections) (meV/atom) = -2478
- mass density (Mg/m³) = 7.123

Cell lengths 4.7187, 4.7187, 11.4447 Å; angles 90.00, 90.00, 90.00 degrees
Space group I-4 (No. 82)
Asymmetric unit:
Ho: 0.0000 0.0000 0.0000 [2 per cell]
Th: 0.0000 0.5000 0.2500 [2 per cell]
B: 0.0000 0.0000 0.5000 [2 per cell]
B: 0.0000 0.5000 0.7500 [2 per cell]
O: 0.0969 0.7449 0.8204 [8 per cell]
O: 0.1105 0.2433 0.4324 [8 per cell]

[5]
A relaxed LiTiGa crystal. Source: Alexandria, functional PBE.

- volume (A^3/atom) = 16.01
- mass density (Mg/m³) = 4.305
- relative energy among the computed polymorphs (kJ/mol of formula units) = 41
- formation energy (eV per atom) = -0.143

Cell lengths 2.8597, 2.8597, 11.7469 Å; angles 90.00, 90.00, 90.00 degrees
Space group I4mm (No. 107)
Asymmetric unit:
Li: 0.0000 0.0000 0.0000 [2 per cell]
Ti: 0.0000 0.0000 0.3065 [2 per cell]
Ga: 0.0000 0.0000 0.6509 [2 per cell]

[6]
A relaxed Zr4SnAs crystal. Source: Alexandria, functional PBE.

- volume (A^3/atom) = 21.71
- mass density (Mg/m³) = 7.120
- formation energy (eV per atom) = -0.571

Cell lengths 7.8921, 12.5435, 5.6379 Å; angles 90.00, 111.01, 90.00 degrees
Space group C2/c (No. 15)
Asymmetric unit:
Zr: 0.0973 0.1863 0.0587 [8 per cell]
Zr: 0.2056 0.4077 0.3566 [8 per cell]
Sn: 0.0000 0.3856 0.7500 [4 per cell]
As: 0.0000 0.0053 0.7500 [4 per cell]